1.
VASP calculation (PBE) on P3BrCl14 after structural relaxation.

D(E_F), states/eV per cell: 0.00
Total energy, eV per atom: -2.9866

Cell and atoms, written as CIF:
```
data_P3BrCl14
_cell_length_a 9.1038
_cell_length_b 9.1038
_cell_length_c 12.7073
_cell_angle_alpha 90.00
_cell_angle_beta 90.00
_cell_angle_gamma 90.00
_symmetry_space_group_name_H-M 'I 4'
_symmetry_Int_Tables_number 79
_symmetry_space_group_name_Hall 'I 4'
loop_
_atom_site_label
_atom_site_fract_x
_atom_site_fract_y
_atom_site_fract_z
P1 0.0000 0.0000 0.0000
P2 0.0000 0.5000 0.2495
Br1 0.0000 0.0000 0.5013
Cl1 0.0000 0.0000 0.1705
Cl2 0.0000 0.0000 0.8296
Cl3 0.0340 0.6733 0.3388
Cl4 0.0339 0.6735 0.6604
Cl5 0.1139 0.7898 0.0000
```

---

2.
VASP calculation (PBE) on PBrCl2 after structural relaxation.

D(E_F), states/eV per cell: 1.92
Total energy, eV per atom: -2.2868

Cell and atoms, written as CIF:
```
data_PBrCl2
_cell_length_a 3.0626
_cell_length_b 3.0626
_cell_length_c 10.7411
_cell_angle_alpha 90.00
_cell_angle_beta 90.00
_cell_angle_gamma 90.00
_symmetry_space_group_name_H-M 'P 4/m m m'
_symmetry_Int_Tables_number 123
_symmetry_space_group_name_Hall '-P 4 2'
loop_
_atom_site_label
_atom_site_fract_x
_atom_site_fract_y
_atom_site_fract_z
P1 0.0000 0.0000 0.0000
Br1 0.0000 0.0000 0.5000
Cl1 0.5000 0.5000 0.1509
```

---

3.
VASP calculation (PBE) on PBrCl4 after structural relaxation.

D(E_F), states/eV per cell: 34.62
Total energy, eV per atom: -1.3359

Cell and atoms, written as CIF:
```
data_PBrCl4
_cell_length_a 8.2135
_cell_length_b 8.2135
_cell_length_c 8.2135
_cell_angle_alpha 90.00
_cell_angle_beta 90.00
_cell_angle_gamma 90.00
_symmetry_space_group_name_H-M 'F -4 3 m'
_symmetry_Int_Tables_number 216
_symmetry_space_group_name_Hall 'F -4 2 3'
loop_
_atom_site_label
_atom_site_fract_x
_atom_site_fract_y
_atom_site_fract_z
P1 0.0000 0.0000 0.0000
Br1 0.2500 0.2500 0.7500
Cl1 0.1257 0.1257 0.3743
```

---

The calculation returns the following formation energy (no corrections) values, one per record and in order: -0.56; 0.41; 1.08 eV per atom.